No. 1
Cs2ZnSe: optimized geometry, GGA-PBE.

The relative energy among the computed polymorphs is 225 meV/atom. The magnetic moment is 0.00 μB/f.u. The energy relative to the elements, uncorrected comes out at -0.33 eV per atom.

```
data_Cs2ZnSe
_space_group_name_H-M_alt 'I -4 2 d'
_space_group_IT_number 122
_space_group_name_Hall 'I -4 2bw'
_cell_length_a 7.925
_cell_length_b 7.925
_cell_length_c 19.007
_cell_angle_alpha 90.00
_cell_angle_beta 90.00
_cell_angle_gamma 90.00
loop_
_atom_site_label
_atom_site_fract_x
_atom_site_fract_y
_atom_site_fract_z
Cs1 0.179 0.250 0.125
Zn1 0.000 0.000 0.500
Se1 0.000 0.000 0.000
```

No. 2
Er2Mg3Co2: optimized geometry, GGA-PBE.

The magnetic moment is 0.83 μB/f.u. The formation energy comes out at -166 meV per atom.

```
data_Er2Mg3Co2
_space_group_name_H-M_alt 'C m m m'
_space_group_IT_number 65
_space_group_name_Hall '-C 2 2'
_cell_length_a 3.778
_cell_length_b 20.735
_cell_length_c 3.799
_cell_angle_alpha 90.00
_cell_angle_beta 90.00
_cell_angle_gamma 90.00
loop_
_atom_site_label
_atom_site_fract_x
_atom_site_fract_y
_atom_site_fract_z
Er1 0.000 0.177 0.000
Mg1 0.000 0.000 0.000
Mg2 0.000 0.419 0.500
Co1 0.000 0.281 0.500
```

No. 3
Ti3MnCu: optimized geometry, GGA-PBE.

The relative energy among the computed polymorphs is 592 meV/atom. The magnetic moment is 0.00 μB/f.u. The formation energy comes out at 1089 meV per atom.

```
data_Ti3MnCu
_space_group_name_H-M_alt 'P m -3 m'
_space_group_IT_number 221
_space_group_name_Hall '-P 4 2 3'
_cell_length_a 4.502
_cell_length_b 4.502
_cell_length_c 4.502
_cell_angle_alpha 90.00
_cell_angle_beta 90.00
_cell_angle_gamma 90.00
loop_
_atom_site_label
_atom_site_fract_x
_atom_site_fract_y
_atom_site_fract_z
Ti1 0.000 0.000 0.500
Mn1 0.500 0.500 0.500
Cu1 0.000 0.000 0.000
```

No. 4
CeDyGaPb: optimized geometry, GGA-PBE.

The magnetic moment is 1.05 μB/f.u. The formation energy comes out at -399 meV per atom.

```
data_CeDyGaPb
_space_group_name_H-M_alt 'F -4 3 m'
_space_group_IT_number 216
_space_group_name_Hall 'F -4 2 3'
_cell_length_a 7.532
_cell_length_b 7.532
_cell_length_c 7.532
_cell_angle_alpha 90.00
_cell_angle_beta 90.00
_cell_angle_gamma 90.00
loop_
_atom_site_label
_atom_site_fract_x
_atom_site_fract_y
_atom_site_fract_z
Ce1 0.000 0.000 0.000
Dy1 0.000 0.000 0.500
Ga1 0.250 0.250 0.250
Pb1 0.250 0.250 0.750
```

No. 5
Te2PAu: optimized geometry, GGA-PBE.

The magnetic moment is 0.00 μB/f.u. The energy relative to the elements, uncorrected comes out at 0.35 eV per atom.

```
data_Te2PAu
_space_group_name_H-M_alt 'I m m m'
_space_group_IT_number 71
_space_group_name_Hall '-I 2 2'
_cell_length_a 3.823
_cell_length_b 7.758
_cell_length_c 8.703
_cell_angle_alpha 90.00
_cell_angle_beta 90.00
_cell_angle_gamma 90.00
loop_
_atom_site_label
_atom_site_fract_x
_atom_site_fract_y
_atom_site_fract_z
Te1 0.000 0.239 0.000
P1 0.000 0.500 0.500
Au1 0.000 0.000 0.500
```

No. 6
TaBeN2: optimized geometry, GGA-PBE.

The magnetic moment is 0.00 μB/f.u. The energy relative to the elements, uncorrected comes out at 0.38 eV per atom.

```
data_TaBeN2
_space_group_name_H-M_alt 'R -3 m'
_space_group_IT_number 166
_space_group_name_Hall '-R 3 2"'
_cell_length_a 2.9945
_cell_length_b 2.9945
_cell_length_c 16.7323
_cell_angle_alpha 90.00
_cell_angle_beta 90.00
_cell_angle_gamma 120.00
loop_
_atom_site_label
_atom_site_fract_x
_atom_site_fract_y
_atom_site_fract_z
Ta1 0.0000 0.0000 0.0000
Be1 0.0000 0.0000 0.5000
N1 0.0000 0.0000 0.1155
```

No. 7
K4La3YSe8: optimized geometry, GGA-PBE.

The magnetic moment is 0.00 μB/f.u. The energy relative to the elements, uncorrected comes out at -1.81 eV per atom.

```
data_K4La3YSe8
_space_group_name_H-M_alt 'R -3 m'
_space_group_IT_number 166
_space_group_name_Hall '-R 3 2"'
_cell_length_a 8.7758
_cell_length_b 8.7758
_cell_length_c 23.0582
_cell_angle_alpha 90.00
_cell_angle_beta 90.00
_cell_angle_gamma 120.00
loop_
_atom_site_label
_atom_site_fract_x
_atom_site_fract_y
_atom_site_fract_z
K1 0.0000 0.0000 0.0000
K2 0.0000 0.5000 0.0000
La1 0.0000 0.5000 0.5000
Y1 0.0000 0.0000 0.5000
Se1 0.0000 0.0000 0.2377
Se2 0.0100 0.5050 0.2363
```

No. 8
GaTeRuI2: optimized geometry, GGA-PBE.

The relative energy among the computed polymorphs is 0 meV/atom. The magnetic moment is 0.00 μB/f.u. The energy relative to the elements, uncorrected comes out at 0.24 eV per atom.

```
data_GaTeRuI2
_space_group_name_H-M_alt 'P 4/m m m'
_space_group_IT_number 123
_space_group_name_Hall '-P 4 2'
_cell_length_a 5.705
_cell_length_b 5.705
_cell_length_c 5.000
_cell_angle_alpha 90.00
_cell_angle_beta 90.00
_cell_angle_gamma 90.00
loop_
_atom_site_label
_atom_site_fract_x
_atom_site_fract_y
_atom_site_fract_z
Ga1 0.000 0.000 0.000
Te1 0.500 0.500 0.000
Ru1 0.500 0.500 0.500
I1 0.000 0.500 0.500
```

Question: Look up the magnetic moment of the fourth one.
Answer: 1.05 μB/f.u.

Question: Look up the magnetic moment of the first one.
Answer: 0.00 μB/f.u.